(1)
The following is a DFT calculation (GGA-PBE) of a relaxed structure of SrLi2Au2.

a = 7.8541 Å, b = 7.8541 Å, c = 3.6377 Å
α = 90.00°, β = 90.00°, γ = 90.00°
Closest atoms and distances in Å follow each position.
Atoms (fractional coordinates):
Sr: 0.0000 0.0000 0.0000  4 Au 3.07
Sr: 0.5000 0.5000 0.0000  4 Au 3.07
Au: 0.3679 0.8679 0.0000  4 Li 2.79, 1 Au 2.93, 2 Sr 3.07
Au: 0.8679 0.6321 0.0000  4 Li 2.79, 1 Au 2.93, 2 Sr 3.07
Au: 0.6321 0.1321 0.0000  4 Li 2.79, 1 Au 2.93, 2 Sr 3.07
Au: 0.1321 0.3679 0.0000  4 Li 2.79, 1 Au 2.93, 2 Sr 3.07
Li: 0.1376 0.6376 0.5000  4 Au 2.79, 1 Li 3.06
Li: 0.6376 0.8624 0.5000  4 Au 2.79, 1 Li 3.06
Li: 0.8624 0.3624 0.5000  4 Au 2.79, 1 Li 3.06
Li: 0.3624 0.1376 0.5000  4 Au 2.79, 1 Li 3.06

Results
Symmetry: P4/mbm, No. 127
Calculated total energy, eV per cell: -28.35
Energy relative to the elements, eV per atom: -0.422

(2)
The following is a DFT calculation (GGA-PBE) of a relaxed structure of BaCa2TaW.

a = 5.2945 Å, b = 5.2707 Å, c = 5.2945 Å
α = 90.00°, β = 90.00°, γ = 90.00°
Closest atoms and distances in Å follow each position.
Atoms (fractional coordinates):
Ca: 0.0000 0.0000 0.5000  2 Ba 2.65
Ca: 0.5000 0.0000 0.0000  2 Ba 2.65
Ba: 0.0000 0.0000 0.0000  2 Ta 2.64, 4 Ca 2.65
W: 0.5000 0.5000 0.5000  8 Ca 3.74, 4 Ta 3.74
Ta: 0.0000 0.5000 0.0000  2 Ba 2.64

Results
Symmetry: P4/mmm, No. 123
Calculated total energy, eV per cell: -17.77
Energy relative to the elements, eV per atom: 2.592

(3)
The following is a DFT calculation (GGA-PBE) of a relaxed structure of Cs14Pr2S9.

a = 9.8951 Å, b = 9.8951 Å, c = 13.7891 Å
α = 90.00°, β = 90.00°, γ = 120.00°
Closest atoms and distances in Å follow each position.
Atoms (fractional coordinates):
Cs: 0.0490 0.6802 0.9076  4 S 3.63-3.67
Cs: 0.3018 0.9049 0.5972  4 S 3.51-3.68
Cs: 0.0951 0.3969 0.5972  4 S 3.51-3.68
Cs: 0.0000 0.0000 0.2511  4 S 3.46-3.60
Cs: 0.0000 0.0000 0.7489  4 S 3.46-3.60
Cs: 0.3198 0.3688 0.9076  4 S 3.63-3.67
Cs: 0.6312 0.9510 0.9076  4 S 3.63-3.67
Cs: 0.3969 0.3018 0.4028  4 S 3.51-3.68
Cs: 0.6031 0.6982 0.5972  4 S 3.51-3.68
Cs: 0.3688 0.0490 0.0924  4 S 3.63-3.67
Cs: 0.6802 0.6312 0.0924  4 S 3.63-3.67
Cs: 0.9049 0.6031 0.4028  4 S 3.51-3.68
Cs: 0.6982 0.0951 0.4028  4 S 3.51-3.68
Cs: 0.9510 0.3198 0.0924  4 S 3.63-3.67
Pr: 0.3333 0.6667 0.2714  4 S 2.74-2.76
Pr: 0.6667 0.3333 0.7286  4 S 2.74-2.76
S: 0.2811 0.8988 0.3389  1 Pr 2.76
S: 0.1012 0.3823 0.3389  1 Pr 2.76
S: 0.3333 0.6667 0.0729  1 Pr 2.74
S: 0.0000 0.0000 0.0000  8 Cs 3.46-3.66
S: 0.3823 0.2811 0.6611  1 Pr 2.76
S: 0.6177 0.7189 0.3389  1 Pr 2.76
S: 0.6667 0.3333 0.9271  1 Pr 2.74
S: 0.8988 0.6177 0.6611  1 Pr 2.76
S: 0.7189 0.1012 0.6611  1 Pr 2.76

Results
Symmetry: P-3, No. 147
Calculated total energy, eV per cell: -87.38
Formation energy from raw total energies, eV per atom: -1.1489

(4)
The following is a DFT calculation (GGA-PBE) of a relaxed structure of PmCrH.

a = 3.1737 Å, b = 3.1724 Å, c = 10.3394 Å
α = 90.00°, β = 90.00°, γ = 120.01°
Closest atoms and distances in Å follow each position.
Atoms (fractional coordinates):
Cr: 0.2771 0.5543 0.5926  1 Cr 1.92, 3 H 2.07
Cr: 0.2771 0.5543 0.4074  1 Cr 1.92, 3 H 2.07
H: 0.2785 0.5571 0.0000  6 Pm 2.51
H: 0.6104 0.2209 0.5000  6 Cr 2.07
Pm: 0.6117 0.2234 0.8340  3 H 2.51
Pm: 0.6117 0.2234 0.1660  3 H 2.51

Results
Symmetry: Amm2, No. 38
Calculated total energy, eV per cell: -33.12

(5)
The following is a DFT calculation (GGA-PBE) of a relaxed structure of Tb2HoAu2.

a = 3.7958 Å, b = 8.1915 Å, c = 8.1915 Å
α = 90.00°, β = 90.00°, γ = 90.00°
Closest atoms and distances in Å follow each position.
Atoms (fractional coordinates):
Tb: 0.5000 0.1635 0.6635  6 Au 3.03-3.09
Tb: 0.5000 0.6635 0.8365  6 Au 3.03-3.09
Tb: 0.5000 0.8365 0.3365  6 Au 3.03-3.09
Tb: 0.5000 0.3365 0.1635  6 Au 3.03-3.09
Ho: 0.0000 0.0000 0.0000  4 Au 3.20
Ho: 0.0000 0.5000 0.5000  4 Au 3.20
Au: 0.0000 0.3675 0.8675  6 Tb 3.03-3.09, 1 Au 3.07, 2 Ho 3.20
Au: 0.0000 0.8675 0.6325  6 Tb 3.03-3.09, 1 Au 3.07, 2 Ho 3.20
Au: 0.0000 0.6325 0.1325  6 Tb 3.03-3.09, 1 Au 3.07, 2 Ho 3.20
Au: 0.0000 0.1325 0.3675  6 Tb 3.03-3.09, 1 Au 3.07, 2 Ho 3.20

Results
Symmetry: P4/mbm, No. 127
Calculated total energy, eV per cell: -47.78
Energy relative to the elements, eV per atom: -0.699

(6)
The following is a DFT calculation (GGA-PBE) of a relaxed structure of Sr3TlIn2Hg6.

a = 6.4417 Å, b = 6.4417 Å, c = 10.0488 Å
α = 90.00°, β = 90.00°, γ = 120.00°
Closest atoms and distances in Å follow each position.
Atoms (fractional coordinates):
Sr: 0.3333 0.6667 0.6081  6 Hg 3.49, 1 In 3.62, 3 Tl 3.87
Sr: 0.6667 0.3333 0.3919  6 Hg 3.49, 1 In 3.62, 3 Tl 3.87
Sr: 0.0000 0.0000 0.0000  6 Hg 3.26
Tl: 0.0000 0.0000 0.5000  6 Hg 3.14
In: 0.6667 0.3333 0.0316  3 Hg 3.39, 4 Sr 3.62-3.73, 3 In 3.77
In: 0.3333 0.6667 0.9684  3 Hg 3.39, 4 Sr 3.62-3.73, 3 In 3.77
Hg: 0.6456 0.8228 0.2576  2 Hg 3.02, 1 Tl 3.14, 1 Sr 3.26
Hg: 0.1772 0.3544 0.2576  2 Hg 3.02, 1 Tl 3.14, 1 Sr 3.26
Hg: 0.1772 0.8228 0.2576  2 Hg 3.02, 1 Tl 3.14, 1 Sr 3.26
Hg: 0.8228 0.6456 0.7424  2 Hg 3.02, 1 Tl 3.14, 1 Sr 3.26
Hg: 0.3544 0.1772 0.7424  2 Hg 3.02, 1 Tl 3.14, 1 Sr 3.26
Hg: 0.8228 0.1772 0.7424  2 Hg 3.02, 1 Tl 3.14, 1 Sr 3.26

Results
Symmetry: P-3m1, No. 164
Calculated total energy, eV per cell: -17.87
Energy relative to the elements, eV per atom: -0.264

(7)
The following is a DFT calculation (GGA-PBE) of a relaxed structure of MnV2Ru.

a = 4.1692 Å, b = 4.1692 Å, c = 4.1692 Å
α = 60.00°, β = 60.00°, γ = 60.00°
Closest atoms and distances in Å follow each position.
Atoms (fractional coordinates):
Ru: 0.5000 0.5000 0.5000  8 V 2.55
Mn: 0.0000 0.0000 0.0000  8 V 2.55
V: 0.2500 0.2500 0.2500  4 Mn 2.55, 4 Ru 2.55
V: 0.7500 0.7500 0.7500  4 Mn 2.55, 4 Ru 2.55

Results
Symmetry: Fm-3m, No. 225
Calculated total energy, eV per cell: -37.67
Energy relative to the elements, eV per atom: -0.246

(8)
The following is a DFT calculation (GGA-PBE) of a relaxed structure of Ti2NiPd.

a = 2.8626 Å, b = 2.8626 Å, c = 8.0570 Å
α = 100.23°, β = 100.23°, γ = 90.00°
Closest atoms and distances in Å follow each position.
Atoms (fractional coordinates):
Ti: 0.1704 0.6704 0.3408  4 Ni 2.48
Ti: 0.3488 0.8488 0.6977  4 Pd 2.67, 5 Ti 2.78-2.86
Ni: 0.5786 0.0786 0.1572  4 Ti 2.48, 4 Pd 2.74
Pd: 0.9606 0.4606 0.9213  4 Ti 2.67, 4 Ni 2.74, 4 Pd 2.86

Results
Symmetry: I4mm, No. 107
Calculated total energy, eV per cell: -26.95
Energy relative to the elements, eV per atom: -0.046

(9)
The following is a DFT calculation (GGA-PBE) of a relaxed structure of YHf2Mo.

a = 4.9486 Å, b = 4.9486 Å, c = 4.9486 Å
α = 60.00°, β = 60.00°, γ = 60.00°
Closest atoms and distances in Å follow each position.
Atoms (fractional coordinates):
Y: 0.0000 0.0000 0.0000  8 Hf 3.03
Mo: 0.5000 0.5000 0.5000  8 Hf 3.03
Hf: 0.2500 0.2500 0.2500  4 Mo 3.03, 4 Y 3.03
Hf: 0.7500 0.7500 0.7500  4 Mo 3.03, 4 Y 3.03

Results
Symmetry: Fm-3m, No. 225
Calculated total energy, eV per cell: -36.14
Energy relative to the elements, eV per atom: 0.266

(10)
The following is a DFT calculation (GGA-PBE) of a relaxed structure of AlMo2As.

a = 2.8712 Å, b = 2.8712 Å, c = 8.2928 Å
α = 90.00°, β = 90.00°, γ = 112.08°
Closest atoms and distances in Å follow each position.
Atoms (fractional coordinates):
Mo: 0.0000 0.0000 0.9905  2 As 2.56, 2 Al 2.68
Mo: 0.0000 0.0000 0.5095  2 As 2.56, 2 Al 2.68
As: 0.5000 0.5000 0.7500  4 Mo 2.56
Al: 0.5000 0.5000 0.2500  4 Mo 2.68, 4 Al 2.87

Results
Symmetry: Cmmm, No. 65
Calculated total energy, eV per cell: -29.57
Energy relative to the elements, eV per atom: 0.120

(11)
The following is a DFT calculation (GGA-PBE) of a relaxed structure of BaPrZn10.

a = 4.2967 Å, b = 5.5758 Å, c = 9.6133 Å
α = 90.00°, β = 90.00°, γ = 90.00°
Closest atoms and distances in Å follow each position.
Atoms (fractional coordinates):
Ba: 0.0000 0.0000 0.0000  18 Zn 3.25-3.63
Pr: 0.0000 0.5000 0.5000  14 Zn 3.14-3.40
Zn: 0.0000 0.0000 0.3393  6 Zn 2.65-2.69
Zn: 0.0000 0.5000 0.8266  6 Zn 2.68-2.72
Zn: 0.0000 0.5000 0.1734  6 Zn 2.68-2.72
Zn: 0.0000 0.0000 0.6607  6 Zn 2.65-2.69
Zn: 0.5000 0.0000 0.5000  8 Zn 2.65-2.68
Zn: 0.5000 0.5000 0.0000  8 Zn 2.72-2.88
Zn: 0.5000 0.2591 0.2647  8 Zn 2.68-2.89
Zn: 0.5000 0.7409 0.7353  8 Zn 2.68-2.89
Zn: 0.5000 0.7409 0.2647  8 Zn 2.68-2.89
Zn: 0.5000 0.2591 0.7353  8 Zn 2.68-2.89

Results
Symmetry: Pmmm, No. 47
Calculated total energy, eV per cell: -22.13
Energy relative to the elements, eV per atom: -0.224

(12)
The following is a DFT calculation (GGA-PBE) of a relaxed structure of LiInSn2F6.

a = 7.4126 Å, b = 7.4428 Å, c = 6.5047 Å
α = 52.06°, β = 55.51°, γ = 44.95°
Closest atoms and distances in Å follow each position.
Atoms (fractional coordinates):
Li: 0.3123 0.3013 0.1684  4 F 1.85-1.96
In: 0.7397 0.7696 0.6817  3 F 2.34-2.47
Sn: 0.5118 0.5942 0.3929  3 F 2.09-2.17
Sn: 0.9828 0.9564 0.9495  3 F 2.13-2.26
F: 0.6227 0.1313 0.2604  1 Li 1.94
F: 0.2884 0.0124 0.3110  1 Li 1.85
F: 0.9581 0.6106 0.2461  1 Li 1.95, 1 Sn 2.13
F: 0.3435 0.5685 0.8058  1 Li 1.96, 1 Sn 2.17
F: 0.7443 0.0357 0.7836  1 Sn 2.13
F: 0.1581 0.6815 0.4159  1 Sn 2.14, 1 In 2.34

Results
Symmetry: P1, No. 1
Calculated total energy, eV per cell: -46.65
Formation energy from raw total energies, eV per atom: -2.2768

(13)
The following is a DFT calculation (GGA-PBE) of a relaxed structure of SrLa2In2.

a = 5.6152 Å, b = 5.6152 Å, c = 7.1352 Å
α = 66.83°, β = 66.83°, γ = 90.00°
Closest atoms and distances in Å follow each position.
Atoms (fractional coordinates):
Sr: 0.0000 0.0000 0.0000  8 In 4.08, 10 La 4.27-4.36
In: 0.7500 0.2500 0.5000  4 La 3.14
In: 0.2500 0.7500 0.5000  4 La 3.14
La: 0.3677 0.3677 0.2647  4 In 3.14, 1 La 3.14
La: 0.6323 0.6323 0.7353  4 In 3.14, 1 La 3.14

Results
Symmetry: I4/mmm, No. 139
Calculated total energy, eV per cell: -17.34
Energy relative to the elements, eV per atom: -0.065

(14)
The following is a DFT calculation (GGA-PBE) of a relaxed structure of Y2GaNi2.

a = 5.3081 Å, b = 5.3081 Å, c = 5.2072 Å
α = 59.36°, β = 59.36°, γ = 90.00°
Closest atoms and distances in Å follow each position.
Atoms (fractional coordinates):
Y: 0.7500 0.2500 0.5000  4 Ni 2.74
Y: 0.2500 0.7500 0.5000  4 Ni 2.74
Ni: 0.3421 0.3421 0.3157  1 Ni 2.28, 1 Ga 2.47
Ni: 0.6579 0.6579 0.6843  1 Ni 2.28, 1 Ga 2.47
Ga: 0.0000 0.0000 0.0000  2 Ni 2.47

Results
Symmetry: I4/mmm, No. 139
Calculated total energy, eV per cell: -29.22
Energy relative to the elements, eV per atom: -0.341

(15)
The following is a DFT calculation (GGA-PBE) of a relaxed structure of LiHg2GeS4.

a = 6.6333 Å, b = 7.2561 Å, c = 8.2147 Å
α = 90.00°, β = 90.00°, γ = 90.00°
Closest atoms and distances in Å follow each position.
Atoms (fractional coordinates):
Li: 0.9950 0.1588 0.5000  4 S 2.48-2.51
Li: 0.4950 0.8412 0.0000  4 S 2.48-2.51
Hg: 0.4999 0.3292 0.2526  4 S 2.60-2.62
Hg: 0.4999 0.3292 0.7474  4 S 2.60-2.62
Hg: 0.9999 0.6708 0.7526  4 S 2.60-2.62
Hg: 0.9999 0.6708 0.2474  4 S 2.60-2.62
Ge: 0.4952 0.8300 0.5000  4 S 2.36-2.41
Ge: 0.9952 0.1700 0.0000  4 S 2.36-2.41
S: 0.3514 0.1565 0.0000  1 Ge 2.36, 1 Li 2.48, 2 Hg 2.62
S: 0.8514 0.8435 0.5000  1 Ge 2.36, 1 Li 2.48, 2 Hg 2.62
S: 0.3693 0.1415 0.5000  1 Ge 2.41, 1 Li 2.49, 2 Hg 2.60
S: 0.8693 0.8585 0.0000  1 Ge 2.41, 1 Li 2.49, 2 Hg 2.60
S: 0.3946 0.6756 0.7446  1 Ge 2.40, 1 Li 2.51, 2 Hg 2.61-2.62
S: 0.8946 0.3244 0.2446  1 Ge 2.40, 1 Li 2.51, 2 Hg 2.61-2.62
S: 0.8946 0.3244 0.7554  1 Ge 2.40, 1 Li 2.51, 2 Hg 2.61-2.62
S: 0.3946 0.6756 0.2554  1 Ge 2.40, 1 Li 2.51, 2 Hg 2.61-2.62

Results
Symmetry: Pmn2_1, No. 31
Calculated total energy, eV per cell: -52.93
Formation energy from raw total energies, eV per atom: -0.3526

(16)
The following is a DFT calculation (GGA-PBE) of a relaxed structure of Cs2BIBr6.

a = 8.6122 Å, b = 8.6122 Å, c = 8.0561 Å
α = 57.69°, β = 57.69°, γ = 90.00°
Closest atoms and distances in Å follow each position.
Atoms (fractional coordinates):
Cs: 0.7500 0.2500 0.5000  12 Br 4.03-4.37
Cs: 0.2500 0.7500 0.5000  12 Br 4.03-4.37
I: 0.0000 0.0000 0.0000  6 Br 3.13-3.40
B: 0.5000 0.5000 0.0000  2 Br 1.87
Br: 0.3226 0.3226 0.3548  1 B 1.87
Br: 0.6774 0.6774 0.6452  1 B 1.87
Br: 0.2573 0.2573 0.0000  1 B 2.96, 1 I 3.13
Br: 0.7427 0.7427 0.0000  1 B 2.96, 1 I 3.13
Br: 0.7427 0.2573 0.0000  1 B 2.96, 1 I 3.13
Br: 0.2573 0.7427 0.0000  1 B 2.96, 1 I 3.13

Results
Symmetry: I4/mmm, No. 139
Calculated total energy, eV per cell: -25.96
Formation energy from raw total energies, eV per atom: -0.5990

(17)
The following is a DFT calculation (GGA-PBE) of a relaxed structure of CeTh3Sn.

a = 5.6871 Å, b = 6.6913 Å, c = 8.3652 Å
α = 90.00°, β = 109.84°, γ = 90.00°
Closest atoms and distances in Å follow each position.
Atoms (fractional coordinates):
Ce: 0.0063 0.7500 0.0122  6 Th 3.21-3.46, 2 Ce 3.35, 2 Sn 3.40
Ce: 0.9937 0.2500 0.9878  6 Th 3.21-3.46, 2 Ce 3.35, 2 Sn 3.40
Th: 0.1880 0.0062 0.3760  6 Th 3.26-3.63, 2 Ce 3.34-3.46, 3 Sn 3.38-3.47
Th: 0.8120 0.5062 0.6240  6 Th 3.26-3.63, 2 Ce 3.34-3.46, 3 Sn 3.38-3.47
Th: 0.8120 0.9938 0.6240  6 Th 3.26-3.63, 2 Ce 3.34-3.46, 3 Sn 3.38-3.47
Th: 0.1880 0.4938 0.3760  6 Th 3.26-3.63, 2 Ce 3.34-3.46, 3 Sn 3.38-3.47
Th: 0.5898 0.2500 0.1791  2 Ce 3.21-3.22, 3 Sn 3.36-3.39
Th: 0.4102 0.7500 0.8209  2 Ce 3.21-3.22, 3 Sn 3.36-3.39
Sn: 0.3760 0.2500 0.7519  9 Th 3.36-3.47, 2 Ce 3.40
Sn: 0.6240 0.7500 0.2481  9 Th 3.36-3.47, 2 Ce 3.40

Results
Symmetry: Cmcm, No. 63
Calculated total energy, eV per cell: -66.02
Energy relative to the elements, eV per atom: -0.163

(18)
The following is a DFT calculation (GGA-PBE) of a relaxed structure of MgTeO2.

a = 5.3073 Å, b = 5.3073 Å, c = 5.7880 Å
α = 62.71°, β = 62.71°, γ = 90.00°
Closest atoms and distances in Å follow each position.
Atoms (fractional coordinates):
Mg: 0.5000 0.5000 0.0000  4 O 1.98
Mg: 0.2500 0.7500 0.5000  4 O 1.98
Te: 0.0000 0.0000 0.0000  4 O 2.42
Te: 0.7500 0.2500 0.5000  4 O 2.42
O: 0.5564 0.1250 0.2500  2 Mg 1.98
O: 0.1936 0.6250 0.2500  2 Mg 1.98
O: 0.3750 0.4436 0.7500  2 Mg 1.98
O: 0.8750 0.8064 0.7500  2 Mg 1.98

Results
Symmetry: I-42d, No. 122
Calculated total energy, eV per cell: -38.42
Formation energy from raw total energies, eV per atom: -1.1396